[1]
# Th8Te4PRu3, optimized geometry, DFT GGA-PBE
# Energy relative to the elements, uncorrected = -0.968 eV/atom
# Mass density = 9.64 g cm⁻³
data_Th8Te4PRu3
_cell_length_a 8.4222
_cell_length_b 8.4222
_cell_length_c 22.7245
_cell_angle_alpha 90.00
_cell_angle_beta 90.00
_cell_angle_gamma 120.00
_symmetry_space_group_name_H-M 'R -3 m'
_symmetry_Int_Tables_number 166
_symmetry_space_group_name_Hall '-R 3 2"'
loop_
_atom_site_label
_atom_site_fract_x
_atom_site_fract_y
_atom_site_fract_z
Th1 0.0000 0.0000 0.2332
Th2 0.0095 0.5048 0.7654
Te1 0.0000 0.0000 0.0000
Te2 0.0000 0.5000 0.0000
P1 0.0000 0.0000 0.5000
Ru1 0.0000 0.5000 0.5000

[2]
# Th6Te3PRu2, optimized geometry, DFT GGA-PBE
# Energy relative to the elements, uncorrected = -1.020 eV/atom
# Mass density = 9.55 g cm⁻³
data_Th6Te3PRu2
_cell_length_a 7.315
_cell_length_b 12.652
_cell_length_c 7.922
_cell_angle_alpha 90.00
_cell_angle_beta 107.78
_cell_angle_gamma 90.00
_symmetry_space_group_name_H-M 'C 1 2/m 1'
_symmetry_Int_Tables_number 12
loop_
_symmetry_equiv_pos_as_xyz
'x,y,z'
'-x,-y,-z'
'-x,y,-z'
'x,-y,z'
'x+1/2,y+1/2,z'
'-x+1/2,-y+1/2,-z'
'-x+1/2,y+1/2,-z'
'x+1/2,-y+1/2,z'
loop_
_atom_site_label
_atom_site_fract_x
_atom_site_fract_y
_atom_site_fract_z
Th1 0.222 0.000 0.204
Th2 0.242 0.327 0.204
Te1 0.000 0.000 0.500
Te2 0.000 0.338 0.500
P1 0.000 0.500 0.000
Ru1 0.000 0.168 0.000

[3]
# Th8Te4P3Ru, optimized geometry, DFT GGA-PBE
# Energy relative to the elements, uncorrected = -1.227 eV/atom
# Mass density = 9.29 g cm⁻³
data_Th8Te4P3Ru
_cell_length_a 8.4713
_cell_length_b 8.4713
_cell_length_c 22.0865
_cell_angle_alpha 90.00
_cell_angle_beta 90.00
_cell_angle_gamma 120.00
_symmetry_space_group_name_H-M 'R -3 m'
_symmetry_Int_Tables_number 166
_symmetry_space_group_name_Hall '-R 3 2"'
loop_
_atom_site_label
_atom_site_fract_x
_atom_site_fract_y
_atom_site_fract_z
Th1 0.0000 0.0000 0.2357
Th2 0.0061 0.5030 0.2358
Te1 0.0000 0.0000 0.0000
Te2 0.0000 0.5000 0.0000
P1 0.0000 0.5000 0.5000
Ru1 0.0000 0.0000 0.5000